[1]
# Ac6Ge2PSe3 (GGA-PBE, optimized geometry)
data_Ac6Ge2PSe3
_cell_length_a 19.759
_cell_length_b 4.540
_cell_length_c 9.060
_cell_angle_alpha 90.00
_cell_angle_beta 103.25
_cell_angle_gamma 90.00
_symmetry_space_group_name_H-M 'C 1 2/m 1'
_symmetry_Int_Tables_number 12
loop_
_symmetry_equiv_pos_as_xyz
'x,y,z'
'-x,-y,-z'
'-x,y,-z'
'x,-y,z'
'x+1/2,y+1/2,z'
'-x+1/2,-y+1/2,-z'
'-x+1/2,y+1/2,-z'
'x+1/2,-y+1/2,z'
loop_
_atom_site_label
_atom_site_fract_x
_atom_site_fract_y
_atom_site_fract_z
_atom_site_occupancy
Ac1 0.003 0.000 0.240 1
Ac2 0.163 0.500 0.089 1
Ac3 0.169 0.500 0.576 1
Ge1 0.165 0.000 0.330 1
P1 0.000 0.500 0.000 1
Se1 0.000 0.500 0.500 1
Se2 0.166 0.000 0.834 1
# ΔE_f (raw) in eV per atom: -1.50
# Raw total energy in eV per atom: -5.645
# ρ in Mg/m³: 7.45
# Crystal system: monoclinic



[2]
# Tm5Tl3Cd (GGA-PBE, optimized geometry)
data_Tm5Tl3Cd
_cell_length_a 9.1350
_cell_length_b 9.1350
_cell_length_c 6.6662
_cell_angle_alpha 90.00
_cell_angle_beta 90.00
_cell_angle_gamma 120.00
_symmetry_space_group_name_H-M 'P 63/m c m'
_symmetry_Int_Tables_number 193
_symmetry_space_group_name_Hall '-P 6c 2'
loop_
_atom_site_label
_atom_site_fract_x
_atom_site_fract_y
_atom_site_fract_z
_atom_site_occupancy
Tm1 0.0000 0.2869 0.2500 1
Tm2 0.3333 0.6667 0.0000 1
Tl1 0.0000 0.3747 0.7500 1
Cd1 0.0000 0.0000 0.0000 1
# Raw total energy in eV per atom: -3.686
# ρ in Mg/m³: 10.82
# Crystal system: hexagonal